[1]
CoAgBr2 after structural relaxation, computed with PBE.

Values from the calculation:
The value obtained for the calculated volume is 106 Å³/cell. Its final energy is -3.329 eV per atom. Its energy above the lowest structure with this stoichiometry is 0.0 meV/atom. The value obtained for the mass density is 5.1 Mg/m³.

Geometry as POSCAR:
```
CoAgBr2
1.0
7.8394 -1.7810 0.0000
7.8394 1.7810 0.0000
-0.9380 0.0000 3.7805
Co Ag Br
1 1 2
Direct
0.0000 0.0000 0.0000
0.5626 0.5626 0.5601
0.1553 0.1553 0.1485
0.3946 0.3946 0.9001
```

[2]
HgSbAsI2 after structural relaxation, computed with PBE.

Values from the calculation:
The value obtained for the calculated volume is 197 Å³/cell. Its final energy is -1.652 eV per atom. Its energy above the lowest structure with this stoichiometry is 491.8 meV/atom. The value obtained for the mass density is 5.5 Mg/m³.

Geometry as POSCAR:
```
HgSbAsI2
1.0
5.8259 0.0000 0.0000
0.0000 5.8259 0.0000
0.0000 0.0000 5.8136
Hg Sb As I
1 1 1 2
Direct
0.0000 0.0000 0.0000
0.0000 0.0000 0.5000
0.5000 0.5000 0.5000
0.0000 0.5000 0.0000
0.5000 0.0000 0.0000
```

[3]
CaGa4O7 after structural relaxation, computed with PBE.

Values from the calculation:
The value obtained for the calculated volume is 371 Å³/cell. Its final energy is -6.069 eV per atom. Its energy above the lowest structure with this stoichiometry is 96.9 meV/atom. The value obtained for the mass density is 3.9 Mg/m³.

Geometry as POSCAR:
```
CaGa4O7
1.0
13.4028 0.0000 0.0000
0.0000 5.4402 0.0000
0.0000 0.0000 5.0899
Ca Ga O
2 8 14
Direct
0.0000 0.0091 0.0000
0.5000 0.9909 0.5000
0.1193 0.6633 0.4787
0.2483 0.1747 0.4644
0.2517 0.8253 0.9644
0.3807 0.3367 0.9787
0.6193 0.3367 0.9787
0.7483 0.8253 0.9644
0.7517 0.1747 0.4644
0.8807 0.6633 0.4787
0.0000 0.7923 0.3617
0.1256 0.7658 0.8284
0.1345 0.3411 0.3888
0.2240 0.8540 0.3269
0.2760 0.1460 0.8269
0.3655 0.6589 0.8888
0.3744 0.2342 0.3284
0.5000 0.2077 0.8617
0.6256 0.2342 0.3284
0.6345 0.6589 0.8888
0.7240 0.1460 0.8269
0.7760 0.8540 0.3269
0.8655 0.3411 0.3888
0.8744 0.7658 0.8284
```

[4]
Cr4CuP after structural relaxation, computed with PBE.

Values from the calculation:
The value obtained for the calculated volume is 74 Å³/cell. Its final energy is -7.538 eV per atom. The calculation puts the energy relative to the elements at 462 meV per atom. The value obtained for the mass density is 6.8 Mg/m³.

Geometry as POSCAR:
```
Cr4CuP
1.0
0.0000 3.3268 3.3268
3.3268 0.0000 3.3268
3.3268 3.3268 0.0000
Cr Cu P
4 1 1
Direct
0.1235 0.1235 0.1235
0.1235 0.1235 0.6295
0.1235 0.6295 0.1235
0.6295 0.1235 0.1235
0.7500 0.7500 0.7500
0.5000 0.5000 0.5000
```

[5]
Li2NpH6 after structural relaxation, computed with PBE.

Values from the calculation:
The value obtained for the calculated volume is 118 Å³/cell. Its final energy is -3.582 eV per atom. The value obtained for the mass density is 3.6 Mg/m³.

Geometry as POSCAR:
```
Li2NpH6
1.0
0.0000 3.8964 3.8964
3.8964 0.0000 3.8964
3.8964 3.8964 0.0000
Li Np H
2 1 6
Direct
0.2500 0.2500 0.2500
0.7500 0.7500 0.7500
0.0000 0.0000 0.0000
0.2695 0.2695 0.7305
0.2695 0.7305 0.2695
0.2695 0.7305 0.7305
0.7305 0.2695 0.2695
0.7305 0.2695 0.7305
0.7305 0.7305 0.2695
```

[6]
SbPdS3 after structural relaxation, computed with PBE.

Values from the calculation:
The value obtained for the calculated volume is 104 Å³/cell. Its final energy is -4.005 eV per atom. Its energy above the lowest structure with this stoichiometry is 402.2 meV/atom. The value obtained for the mass density is 5.2 Mg/m³.

Geometry as POSCAR:
```
SbPdS3
1.0
4.6964 0.0000 0.0000
0.0000 4.6964 0.0000
0.0000 0.0000 4.6964
Sb Pd S
1 1 3
Direct
0.0000 0.0000 0.0000
0.5000 0.5000 0.5000
0.0000 0.5000 0.5000
0.5000 0.0000 0.5000
0.5000 0.5000 0.0000
```